Record 1
{
  "formula": "YTiFe11C",
  "functional": "PBE",
  "state": "relaxed",
  "final_energy_ev_per_atom": -8.43,
  "ef_ev_per_atom": -0.093,
  "lattice": [[-2.427, 4.276, 4.247], [2.427, -4.276, 4.247], [2.427, 4.276, -4.247]],
  "species": ["Y", "Ti", "Fe", "Fe", "Fe", "Fe", "Fe", "Fe", "Fe", "Fe", "Fe", "Fe", "Fe", "C"],
  "fractional_positions": [[0.000, 0.000, 0.000], [0.374, 0.374, 0.000], [0.005, 0.006, 0.498], [0.005, 0.507, 0.999], [0.229, 0.509, 0.720], [0.230, 0.730, 0.500], [0.366, 0.007, 0.359], [0.508, 0.006, 0.001], [0.508, 0.507, 0.502], [0.649, 0.007, 0.641], [0.650, 0.650, 0.000], [0.782, 0.282, 0.500], [0.789, 0.509, 0.280], [0.006, 0.506, 0.500]]
}

Record 2
{
  "formula": "Ti2ZnFeC",
  "functional": "PBE",
  "state": "relaxed",
  "final_energy_ev_per_atom": -7.30,
  "ef_ev_per_atom": -0.346,
  "lattice": [[4.203, 0.000, 0.000], [0.000, 4.203, 0.000], [0.000, 0.000, 3.704]],
  "species": ["Ti", "Ti", "Zn", "Fe", "C"],
  "fractional_positions": [[0.000, 0.500, 0.000], [0.500, 0.000, 0.000], [0.000, 0.000, 0.500], [0.500, 0.500, 0.500], [0.500, 0.500, 0.000]]
}

Record 3
{
  "formula": "Tl2FeC",
  "functional": "PBE",
  "state": "relaxed",
  "final_energy_ev_per_atom": -4.05,
  "de_polymorph_mev_per_atom": 0,
  "ef_ev_per_atom": 1.555,
  "lattice": [[-3.353, 3.353, 3.550], [3.353, -3.353, 3.550], [3.353, 3.353, -3.550]],
  "species": ["Tl", "Tl", "Tl", "Tl", "Fe", "Fe", "C", "C"],
  "fractional_positions": [[0.077, 0.125, 0.452], [0.375, 0.923, 0.048], [0.673, 0.625, 0.548], [0.875, 0.327, 0.952], [0.250, 0.750, 0.500], [0.500, 0.500, 0.000], [0.000, 0.000, 0.000], [0.750, 0.250, 0.500]]
}

Record 4
{
  "formula": "TlFe2C",
  "functional": "PBE",
  "state": "relaxed",
  "final_energy_ev_per_atom": -5.34,
  "ef_ev_per_atom": 1.785,
  "lattice": [[0.000, 2.930, 2.930], [2.930, 0.000, 2.930], [2.930, 2.930, 0.000]],
  "species": ["Tl", "Fe", "Fe", "C"],
  "fractional_positions": [[0.000, 0.000, 0.000], [0.250, 0.250, 0.250], [0.750, 0.750, 0.750], [0.500, 0.500, 0.500]]
}

Record 5
{
  "formula": "Tl2FeC",
  "functional": "PBE",
  "state": "relaxed",
  "final_energy_ev_per_atom": -3.73,
  "de_polymorph_mev_per_atom": 322,
  "ef_ev_per_atom": 1.877,
  "lattice": [[0.000, 3.252, 3.252], [3.252, 0.000, 3.252], [3.252, 3.252, 0.000]],
  "species": ["Tl", "Tl", "Fe", "C"],
  "fractional_positions": [[0.250, 0.250, 0.250], [0.750, 0.750, 0.750], [0.000, 0.000, 0.000], [0.500, 0.500, 0.500]]
}

Record 6
{
  "formula": "TlFe2C",
  "functional": "PBE",
  "state": "relaxed",
  "final_energy_ev_per_atom": -6.48,
  "ef_ev_per_atom": 0.645,
  "lattice": [[-3.074, 3.074, 2.840], [3.074, -3.074, 2.840], [3.074, 3.074, -2.840]],
  "species": ["Tl", "Tl", "Fe", "Fe", "Fe", "Fe", "C", "C"],
  "fractional_positions": [[0.000, 0.000, 0.000], [0.750, 0.250, 0.500], [0.245, 0.625, 0.120], [0.375, 0.495, 0.620], [0.505, 0.125, 0.880], [0.875, 0.755, 0.380], [0.250, 0.750, 0.500], [0.500, 0.500, 0.000]]
}

Record 7
{
  "formula": "TlFeWC2",
  "functional": "PBE",
  "state": "relaxed",
  "final_energy_ev_per_atom": -6.60,
  "ef_ev_per_atom": 1.846,
  "lattice": [[3.820, 0.000, 0.000], [0.000, 3.820, 0.000], [0.000, 0.000, 4.979]],
  "species": ["Tl", "Fe", "W", "C", "C"],
  "fractional_positions": [[0.000, 0.000, 0.000], [0.500, 0.500, 0.500], [0.500, 0.500, 0.000], [0.000, 0.500, 0.500], [0.500, 0.000, 0.500]]
}

Record 8
{
  "formula": "TlZn2FeC",
  "functional": "PBE",
  "state": "relaxed",
  "final_energy_ev_per_atom": -3.94,
  "ef_ev_per_atom": 0.582,
  "lattice": [[4.399, 0.000, 0.000], [0.000, 4.399, 0.000], [0.000, 0.000, 3.845]],
  "species": ["Tl", "Zn", "Zn", "Fe", "C"],
  "fractional_positions": [[0.000, 0.000, 0.000], [0.000, 0.500, 0.500], [0.500, 0.000, 0.500], [0.500, 0.500, 0.000], [0.500, 0.500, 0.500]]
}